Material: LiAg2As
Method: DFT, GGA-PBEsol
State: optimized geometry

a = 2.8411 Å, b = 4.6949 Å, c = 4.9484 Å
α = 90.00°, β = 91.97°, γ = 90.00°
Closest atoms and distances in Å follow each position.
Sites, in units of the cell vectors:
1 Ag 0.7364 0.0000 0.7458  6 Ag 2.74-2.90, 2 As 2.76, 2 Li 2.76
2 Ag 0.2636 0.0000 0.2542  6 Ag 2.74-2.90, 2 As 2.76, 2 Li 2.76
3 As 0.5000 0.5000 0.0000  4 Ag 2.76, 4 Li 2.81-2.89, 2 As 2.84
4 Li 0.0000 0.5000 0.5000  4 Ag 2.76, 4 As 2.81-2.89, 2 Li 2.84

Properties
Symmetry: P2/m (10)
Energy of formation from the pure elements in eV/atom: -0.146
Density of states at the Fermi level in states/eV/cell: 1.0
V in Å³ per cell: 66.0

---

Material: LaScPt2
Method: DFT, GGA-PBEsol
State: optimized geometry

a = 4.5283 Å, b = 4.5283 Å, c = 5.5164 Å
α = 65.77°, β = 65.77°, γ = 60.00°
Closest atoms and distances in Å follow each position.
Sites, in units of the cell vectors:
1 Sc 0.5000 0.5000 0.5000  6 Pt 2.71
2 Pt 0.2169 0.2169 0.3494  3 Sc 2.71, 3 Pt 3.00
3 Pt 0.7831 0.7831 0.6506  3 Sc 2.71, 3 Pt 3.00
4 La 0.0000 0.0000 0.0000  8 Pt 3.12-3.16

Properties
Symmetry: R-3m (166)
Energy of formation from the pure elements in eV/atom: -1.075
Density of states at the Fermi level in states/eV/cell: 2.6
V in Å³ per cell: 86.3

---

Material: Si2PtRh
Method: DFT, GGA-PBEsol
State: optimized geometry

a = 5.3325 Å, b = 5.3325 Å, c = 6.4858 Å
α = 114.27°, β = 114.27°, γ = 90.00°
Closest atoms and distances in Å follow each position.
Sites, in units of the cell vectors:
1 Si 0.3822 0.8750 0.2500  2 Rh 2.28, 2 Pt 2.32
2 Si 0.6250 0.6178 0.7500  2 Rh 2.28, 2 Pt 2.32
3 Si 0.8678 0.3750 0.2500  2 Rh 2.28, 2 Pt 2.32
4 Si 0.1250 0.1322 0.7500  2 Rh 2.28, 2 Pt 2.32
5 Rh 0.5000 0.5000 0.0000  4 Si 2.28
6 Rh 0.7500 0.2500 0.5000  4 Si 2.28
7 Pt 0.2500 0.7500 0.5000  4 Si 2.32
8 Pt 0.0000 0.0000 0.0000  4 Si 2.32

Properties
Symmetry: I-42d (122)
Density of states at the Fermi level in states/eV/cell: 3.0
Energy above the lowest structure with this stoichiometry in kJ per mole of atoms: 46.27
V in Å³ per cell: 150.1
Energy relative to the elements, uncorrected in kJ/mol of formula units: -102

---

Material: TiAuS2N
Method: DFT, GGA-PBEsol
State: optimized geometry

a = 3.6963 Å, b = 4.8942 Å, c = 4.8942 Å
α = 90.00°, β = 90.00°, γ = 90.00°
Closest atoms and distances in Å follow each position.
Sites, in units of the cell vectors:
1 Au 0.0000 0.0000 0.0000  2 N 1.85
2 N 0.5000 0.0000 0.0000  2 Au 1.85
3 S 0.0000 0.5000 0.0000  2 Au 2.45
4 S 0.0000 0.0000 0.5000  2 Au 2.45
5 Ti 0.5000 0.5000 0.5000  8 S 3.07

Properties
Symmetry: P4/mmm (123)
Density of states at the Fermi level in states/eV/cell: 4.6
V in Å³ per cell: 88.5
Energy relative to the elements, uncorrected in kJ/mol of formula units: 389

---

Material: TiIrBr2
Method: DFT, GGA-PBEsol
State: optimized geometry

a = 3.1489 Å, b = 3.1489 Å, c = 8.5525 Å
α = 79.39°, β = 79.39°, γ = 60.00°
Closest atoms and distances in Å follow each position.
Sites, in units of the cell vectors:
1 Br 0.9042 0.9042 0.2874  1 Ir 2.40, 3 Ti 2.54
2 Br 0.0958 0.0958 0.7126  1 Ir 2.40, 3 Ti 2.54
3 Ir 0.0000 0.0000 0.0000  2 Br 2.40
4 Ti 0.5000 0.5000 0.5000  6 Br 2.54

Properties
Symmetry: R-3m (166)
Density of states at the Fermi level in states/eV/cell: 2.5
V in Å³ per cell: 71.8
Energy relative to the elements, uncorrected in kJ/mol of formula units: 10

---

Material: PIrSe2
Method: DFT, GGA-PBEsol
State: optimized geometry

a = 2.8222 Å, b = 2.8528 Å, c = 9.6544 Å
α = 90.00°, β = 90.00°, γ = 119.65°
Closest atoms and distances in Å follow each position.
Sites, in units of the cell vectors:
1 Se 0.0000 0.0000 0.2764  2 Ir 2.58, 6 Se 2.82-2.85
2 Se 0.0000 0.0000 0.7236  2 Ir 2.58, 6 Se 2.82-2.85
3 Ir 0.5000 0.0000 0.5000  4 Se 2.58, 6 Ir 2.82-2.85
4 P 0.5000 0.0000 0.0000  6 P 2.82-2.85, 4 Se 3.02

Properties
Symmetry: Cmmm (65)
Density of states at the Fermi level in states/eV/cell: 2.8
V in Å³ per cell: 67.6
Energy relative to the elements, uncorrected in kJ/mol of formula units: 220

---

Material: Ni5Se4Cl2O12
Method: DFT, GGA-PBEsol
State: optimized geometry

a = 7.9343 Å, b = 9.1567 Å, c = 9.2407 Å
α = 102.04°, β = 105.65°, γ = 92.16°
Closest atoms and distances in Å follow each position.
Sites, in units of the cell vectors:
1 O 0.3270 0.4576 0.3126  1 Se 1.74
2 O 0.8017 0.0749 0.6027  1 Se 1.72
3 O 0.7146 0.1278 0.0198  1 Se 1.76
4 O 0.9360 0.0929 0.3419  1 Se 1.74
5 O 0.4597 0.7352 0.4986  1 Se 1.73
6 O 0.0640 0.9071 0.6581  1 Se 1.74
7 O 0.3356 0.6887 0.7202  1 Se 1.74
8 O 0.9389 0.3367 0.1783  1 Se 1.74
9 O 0.7159 0.3205 0.8064  1 Se 1.75
10 O 0.6429 0.7698 0.9530  1 Se 1.69
11 O 0.5403 0.2648 0.5014  1 Se 1.73
12 O 0.2136 0.1319 0.2652  1 Se 1.81, 2 Ni 1.95-2.01
13 O 0.2841 0.6795 0.1936  1 Se 1.75
14 O 0.9891 0.8866 0.0736  1 Se 1.81, 1 Ni 2.00
15 O 0.0109 0.1134 0.9264  1 Se 1.81, 1 Ni 2.00
16 O 0.7864 0.8681 0.7348  1 Se 1.81, 2 Ni 1.95-2.01
17 O 0.0611 0.6633 0.8217  1 Se 1.74
18 O 0.8875 0.5889 0.0369  1 Se 1.74
19 O 0.6644 0.3113 0.2798  1 Se 1.74
20 O 0.1983 0.9251 0.3973  1 Se 1.72
21 O 0.6730 0.5424 0.6874  1 Se 1.74
22 O 0.1125 0.4111 0.9631  1 Se 1.74
23 O 0.3571 0.2302 0.0470  1 Se 1.69
24 O 0.2854 0.8722 0.9802  1 Se 1.76
25 Ni 0.2466 0.8097 0.5611  4 O 1.98-2.04
26 Ni 0.7402 0.1027 0.8034  5 O 2.01-2.18
27 Ni 0.0342 0.8855 0.8702  6 O 2.00-2.08
28 Ni 0.5808 0.7402 0.7276  5 O 1.95-2.06
29 Ni 0.4192 0.2598 0.2724  5 O 1.95-2.06
30 Ni 0.9658 0.1145 0.1298  6 O 2.00-2.08
31 Ni 0.9105 0.4873 0.8230  5 O 1.97-2.11
32 Ni 0.7534 0.1903 0.4389  4 O 1.98-2.04
33 Ni 0.2598 0.8973 0.1966  5 O 2.01-2.18
34 Ni 0.0895 0.5127 0.1770  5 O 1.97-2.11
35 Se 0.5432 0.3800 0.6759  3 O 1.73-1.75
36 Se 0.8208 0.7639 0.1005  3 O 1.69-1.81
37 Se 0.2892 0.6828 0.8930  3 O 1.74-1.76
38 Se 0.1792 0.2361 0.8995  3 O 1.69-1.81
39 Se 0.7108 0.3172 0.1070  3 O 1.74-1.76
40 Se 0.8407 0.8894 0.5622  3 O 1.72-1.81
41 Se 0.4568 0.6200 0.3241  3 O 1.73-1.75
42 Se 0.1593 0.1106 0.4378  3 O 1.72-1.81
43 Cl 0.0255 0.6317 0.4002  2 Ni 2.30-2.32
44 Cl 0.9745 0.3683 0.5998  2 Ni 2.30-2.32
45 Cl 0.5598 0.9703 0.2759  2 Ni 2.32-2.44
46 Cl 0.4402 0.0297 0.7241  2 Ni 2.32-2.44

Properties
Symmetry: P-1 (2)
V in Å³ per cell: 629.1
Energy relative to the elements, uncorrected in kJ/mol of formula units: -1525

---

Material: Cr3NiP4
Method: DFT, GGA-PBEsol
State: optimized geometry

a = 3.0344 Å, b = 5.2638 Å, c = 5.8871 Å
α = 90.00°, β = 90.00°, γ = 90.00°
Closest atoms and distances in Å follow each position.
Sites, in units of the cell vectors:
1 Cr 0.5000 0.0052 0.1959  6 P 2.27-2.36
2 Cr 0.0000 0.9919 0.8102  6 P 2.25-2.36
3 Cr 0.5000 0.5076 0.2957  6 P 2.28-2.39
4 P 0.0000 0.3088 0.0669  5 Cr 2.25-2.33, 1 Ni 2.39
5 P 0.5000 0.6895 0.9326  4 Cr 2.27-2.34, 2 Ni 2.31
6 P 0.5000 0.1860 0.5633  4 Cr 2.31-2.36, 2 Ni 2.35, 2 P 2.57
7 P 0.0000 0.8177 0.4401  1 Ni 2.27, 5 Cr 2.31-2.39
8 Ni 0.0000 0.4934 0.6954  6 P 2.27-2.39

Properties
Symmetry: Pm (6)
Energy of formation from the pure elements in eV/atom: -0.605
Density of states at the Fermi level in states/eV/cell: 5.8
V in Å³ per cell: 94.0

---

- Which formula does entry 6 have?
  PIrSe2

---

- The lowest V belongs to which entry?
  LiAg2As

---

- Which of these has the lowest V?
  LiAg2As